Material: Rb2AcYO4
Method: DFT, PBE
State: optimized geometry

Calculated values
**Calculated volume**: 157.5 Å³ per cell
**Energy**: -6.612 eV/atom

Unit cell a=6.433 b=3.703 c=6.951 alpha=90.00 beta=107.97 gamma=90.00
Space group P2/m (No. 10)
Unique sites:
Rb: 0.000 0.000 0.000 [1 per cell]
Rb: 0.500 0.500 0.000 [1 per cell]
Ac: 0.000 0.500 0.500 [1 per cell]
Y: 0.500 0.000 0.500 [1 per cell]
O: 0.249 0.000 0.681 [2 per cell]
O: 0.289 0.500 0.321 [2 per cell]



Material: Rb3Ac3YO8
Method: DFT, PBE
State: optimized geometry

Calculated values
**Calculated volume**: 996.2 Å³ per cell
**Energy**: -6.647 eV/atom

Unit cell a=7.5721 b=7.5721 c=20.0637 alpha=90.00 beta=90.00 gamma=120.00
Space group R-3m (No. 166, hexagonal axes)
Unique sites:
Rb: 0.0000 0.5000 0.0000 [9 per cell]
Ac: 0.0000 0.5000 0.5000 [9 per cell]
Y: 0.0000 0.0000 0.5000 [3 per cell]
O: 0.0000 0.0000 0.2287 [6 per cell]
O: 0.0222 0.5111 0.2234 [18 per cell]



Material: Rb4Ac3YO8
Method: DFT, PBE
State: optimized geometry

Calculated values
**Calculated volume**: 995.8 Å³ per cell
**Energy**: -6.436 eV/atom

Unit cell a=7.5984 b=7.5984 c=19.9159 alpha=90.00 beta=90.00 gamma=120.00
Space group R-3m (No. 166, hexagonal axes)
Unique sites:
Rb: 0.0000 0.0000 0.0000 [3 per cell]
Rb: 0.0000 0.5000 0.0000 [9 per cell]
Ac: 0.0000 0.5000 0.5000 [9 per cell]
Y: 0.0000 0.0000 0.5000 [3 per cell]
O: 0.0000 0.0000 0.2290 [6 per cell]
O: 0.0180 0.5090 0.2269 [18 per cell]